[1]
## TbAl2ZnNi4 (PBE)

Data for an optimized crystal structure of TbAl2ZnNi4.

* energy relative to the elements: -0.461 eV/atom
* M_tot: 0.00 Bohr magnetons per cell
* electronic total energy: -120.61 eV per cell

a = 4.0588 Å, b = 4.0588 Å, c = 24.5518 Å
α = 90.00°, β = 90.00°, γ = 120.00°
Space group R-3m (No. 166, hexagonal axes)
Asymmetric unit:
Tb 0.0000 0.0000 0.0000
Al 0.0000 0.0000 0.2377
Zn 0.0000 0.0000 0.5000
Ni 0.0000 0.0000 0.1305
Ni 0.0000 0.0000 0.4037

---

[2]
## Tb2AlZn3Ni12 (PBE)

Data for an optimized crystal structure of Tb2AlZn3Ni12.

* energy relative to the elements: 0.036 eV/atom
* M_tot: 0.00 Bohr magnetons per cell
* electronic total energy: -256.68 eV per cell

a = 5.9608 Å, b = 5.9608 Å, c = 25.9801 Å
α = 90.00°, β = 90.00°, γ = 120.00°
Space group R-3m (No. 166, hexagonal axes)
Asymmetric unit:
Tb 0.0000 0.0000 0.1490
Al 0.0000 0.0000 0.5000
Zn 0.0000 0.5000 0.0000
Ni 0.0403 0.5201 0.0983
Ni 0.0733 0.5366 0.6158

---

Question: What is the formula in the first record?
Answer: TbAl2ZnNi4